{"formula": "Y3HgPt", "functional": "PBE", "state": "relaxed", "cell": [[5.426, 0.000, 0.000], [0.000, 5.426, 0.000], [0.000, 0.000, 5.426]], "species": ["Pt", "Y", "Y", "Y", "Hg"], "frac_coords": [[0.000, 0.000, 0.000], [0.000, 0.500, 0.000], [0.500, 0.000, 0.000], [0.000, 0.000, 0.500], [0.500, 0.500, 0.500]], "formation_enthalpy_0k_ev_per_atom": -0.39, "polymorph_energy_kj_per_mol_atoms": 23.3, "dos_ef_per_ev_fu": 7.9, "total_energy_ev_per_atom": -5.54}


{"formula": "Be2BiOsPt", "functional": "PBE", "state": "relaxed", "cell": [[-1.229, -2.564, -3.191], [4.269, -2.800, 0.605], [-2.040, -2.505, 2.799]], "species": ["Be", "Be", "Os", "Bi", "Pt"], "frac_coords": [[0.500, 0.000, 0.000], [0.000, 0.000, 0.500], [0.000, 0.000, 0.000], [0.000, 0.500, 0.000], [0.500, 0.500, 0.500]], "formation_enthalpy_0k_ev_per_atom": 0.81, "dos_ef_per_ev_fu": 2.5, "total_energy_ev_per_atom": -4.91}


{"formula": "La3Sm4Ho", "functional": "PBE", "state": "relaxed", "cell": [[-6.491, 0.103, -3.463], [-1.887, -5.019, 3.387], [-4.323, 7.239, 8.317]], "species": ["La", "La", "La", "La", "La", "La", "Sm", "Sm", "Sm", "Sm", "Sm", "Sm", "Sm", "Sm", "Ho", "Ho"], "frac_coords": [[0.439, 0.999, 0.252], [0.439, 0.999, 0.748], [0.690, 0.832, 0.000], [0.939, 0.001, 0.752], [0.939, 0.001, 0.248], [0.190, 0.168, 0.500], [0.189, 0.832, 0.000], [0.939, 0.668, 0.500], [0.439, 0.332, 0.000], [0.190, 0.501, 0.751], [0.690, 0.499, 0.749], [0.190, 0.501, 0.249], [0.689, 0.168, 0.500], [0.690, 0.499, 0.251], [0.441, 0.667, 0.500], [0.941, 0.333, 0.000]], "formation_enthalpy_0k_ev_per_atom": 0.00, "polymorph_energy_kj_per_mol_atoms": 0.0, "dos_ef_per_ev_fu": 9.9, "total_energy_ev_per_atom": -4.78}


{"formula": "LaOsSe2", "functional": "PBE", "state": "relaxed", "cell": [[5.378, 0.000, 0.000], [0.000, 5.378, 0.000], [2.689, 2.689, 7.351]], "species": ["Os", "Os", "Se", "Se", "Se", "Se", "La", "La"], "frac_coords": [[0.000, 0.000, 0.000], [0.750, 0.250, 0.500], [0.044, 0.625, 0.250], [0.375, 0.294, 0.750], [0.706, 0.125, 0.250], [0.875, 0.956, 0.750], [0.500, 0.500, 0.000], [0.250, 0.750, 0.500]], "e_form_raw_mev_per_atom": -402.6, "polymorph_energy_kj_per_mol_atoms": 28.8, "dos_ef_per_ev_fu": 2.8, "total_energy_ev_per_atom": -6.18}


{"formula": "Sc2Be2VRu5", "functional": "PBE", "state": "relaxed", "cell": [[3.140, 0.000, 0.000], [0.000, 9.378, 0.000], [0.000, 0.000, 9.378]], "species": ["Sc", "Sc", "Sc", "Sc", "Ru", "Ru", "Ru", "Ru", "Ru", "Ru", "Ru", "Ru", "Ru", "Ru", "Be", "Be", "Be", "Be", "V", "V"], "frac_coords": [[0.000, 0.827, 0.673], [0.000, 0.673, 0.173], [0.000, 0.173, 0.327], [0.000, 0.327, 0.827], [0.500, 0.931, 0.204], [0.500, 0.069, 0.796], [0.500, 0.204, 0.069], [0.500, 0.431, 0.296], [0.500, 0.500, 0.000], [0.500, 0.000, 0.500], [0.500, 0.569, 0.704], [0.500, 0.296, 0.569], [0.500, 0.796, 0.931], [0.500, 0.704, 0.431], [0.000, 0.875, 0.375], [0.000, 0.375, 0.125], [0.000, 0.125, 0.625], [0.000, 0.625, 0.875], [0.000, 0.500, 0.500], [0.000, 0.000, 0.000]], "formation_enthalpy_0k_ev_per_atom": -0.41, "dos_ef_per_ev_fu": 8.6, "total_energy_ev_per_atom": -7.98}


{"formula": "SnHg2AsS", "functional": "PBE", "state": "relaxed", "cell": [[-0.337, -1.702, 4.861], [-0.342, -4.725, -1.678], [5.138, -0.443, 0.201]], "species": ["Hg", "Hg", "S", "As", "Sn"], "frac_coords": [[0.500, 0.000, 0.000], [0.000, 0.000, 0.500], [0.000, 0.000, 0.000], [0.000, 0.500, 0.000], [0.500, 0.500, 0.500]], "e_form_raw_mev_per_atom": 451.4, "dos_ef_per_ev_fu": 1.9, "total_energy_ev_per_atom": -2.23}


{"formula": "LiTbSb2", "functional": "PBE", "state": "relaxed", "cell": [[3.938, 0.000, 0.000], [0.000, 3.938, 0.000], [0.000, 0.000, 6.543]], "species": ["Tb", "Sb", "Sb", "Li"], "frac_coords": [[0.500, 0.500, 0.500], [0.000, 0.000, 0.757], [0.000, 0.000, 0.243], [0.500, 0.500, 0.000]], "e_form_raw_mev_per_atom": -611.9, "polymorph_energy_kj_per_mol_atoms": 18.2, "dos_ef_per_ev_fu": 2.0, "total_energy_ev_per_atom": -4.31}


{"formula": "La2TbEr12", "functional": "PBE", "state": "relaxed", "cell": [[6.450, 0.000, 0.000], [0.000, 6.450, 0.000], [0.000, 0.000, 24.580]], "species": ["Er", "Er", "Er", "Er", "Er", "Er", "Er", "Er", "Er", "Er", "Er", "Er", "Er", "Er", "Er", "Er", "Er", "Er", "Er", "Er", "Er", "Er", "Er", "Er", "La", "La", "La", "La", "Tb", "Tb"], "frac_coords": [[0.669, 0.831, 0.560], [0.249, 0.251, 0.888], [0.500, 0.500, 0.788], [0.169, 0.331, 0.440], [0.249, 0.749, 0.112], [0.331, 0.831, 0.440], [0.169, 0.669, 0.560], [0.331, 0.169, 0.560], [0.751, 0.749, 0.888], [0.831, 0.669, 0.440], [0.251, 0.751, 0.888], [0.500, 0.500, 0.212], [0.831, 0.331, 0.560], [0.500, 0.500, 0.661], [0.000, 0.000, 0.339], [0.000, 0.000, 0.661], [0.000, 0.000, 0.212], [0.669, 0.169, 0.440], [0.251, 0.249, 0.112], [0.000, 0.000, 0.788], [0.500, 0.500, 0.339], [0.749, 0.751, 0.112], [0.749, 0.249, 0.888], [0.751, 0.251, 0.112], [0.000, 0.500, 0.263], [0.500, 0.000, 0.737], [0.000, 0.500, 0.737], [0.500, 0.000, 0.263], [0.000, 0.500, 0.000], [0.500, 0.000, 0.000]], "formation_enthalpy_0k_ev_per_atom": 0.36, "dos_ef_per_ev_fu": 28.1, "total_energy_ev_per_atom": -4.25}